YHgBiP2: optimized geometry, PBE-GGA.

Energy of formation: 0.6322 eV/atom
Space group: No. 123

a = 5.306 Å, b = 5.306 Å, c = 5.365 Å
α = 90.00°, β = 90.00°, γ = 90.00°
Fractional coordinates of all 5 atoms:
Y 0.000 0.000 0.000
Hg 0.500 0.500 0.000
Bi 0.500 0.500 0.500
P 0.000 0.500 0.500
P 0.500 0.000 0.500